Entry 1:
The following is a PBE calculation of a relaxed structure of Ba6RhI, from the Alexandria database.

Cell lengths 8.4507, 13.6772, 8.2414 Å; angles 90.00, 107.37, 90.00 degrees
Space group C2/m (No. 12)
One atom of each set of equivalent atoms:
Ba: 0.2032 0.1631 0.2331 (multiplicity 8)
Ba: 0.2416 0.0000 0.7867 (multiplicity 4)
Rh: 0.0000 0.0000 0.0000 (multiplicity 2)
I: 0.0000 0.5000 0.5000 (multiplicity 2)

Output
magnetization = 0.01 μB/f.u.
raw total energy = -2.9459 eV per atom
energy relative to the elements, uncorrected = -0.391 eV per atom

Entry 2:
The following is a PBE calculation of a relaxed structure of BaRhI3, from the Alexandria database.

Cell lengths 5.5297, 5.5297, 5.5297 Å; angles 90.00, 90.00, 90.00 degrees
Space group Pm-3m (No. 221)
One atom of each set of equivalent atoms:
Ba: 0.0000 0.0000 0.0000 (multiplicity 1)
Rh: 0.5000 0.5000 0.5000 (multiplicity 1)
I: 0.0000 0.5000 0.5000 (multiplicity 3)

Output
polymorph energy (0 for the lowest one) = 0.000 eV/atom
magnetization = 0.00 μB/f.u.
raw total energy = -3.6241 eV per atom
energy relative to the elements, uncorrected = -0.839 eV per atom

Entry 3:
The following is a PBE calculation of a relaxed structure of Ba2RhI, from the Alexandria database.

Cell lengths 3.9684, 3.9684, 8.7103 Å; angles 90.00, 90.00, 90.00 degrees
Space group P4/mmm (No. 123)
One atom of each set of equivalent atoms:
Ba: 0.0000 0.0000 0.2066 (multiplicity 2)
Rh: 0.5000 0.5000 0.0000 (multiplicity 1)
I: 0.5000 0.5000 0.5000 (multiplicity 1)

Output
polymorph energy (0 for the lowest one) = 0.061 eV/atom
magnetization = 0.00 μB/f.u.
raw total energy = -3.9054 eV per atom
energy relative to the elements, uncorrected = -0.719 eV per atom

Entry 4:
The following is a PBE calculation of a relaxed structure of BaRhI, from the Alexandria database.

Cell lengths 4.2065, 6.8541, 6.8882 Å; angles 89.40, 89.90, 72.18 degrees
Space group P-1 (No. 2)
One atom of each set of equivalent atoms:
Ba: 0.1224 0.2528 0.2210 (multiplicity 2)
Rh: 0.2050 0.0903 0.6097 (multiplicity 2)
I: 0.3913 0.7178 0.2225 (multiplicity 2)

Output
magnetization = 0.00 μB/f.u.
raw total energy = -4.2283 eV per atom
energy relative to the elements, uncorrected = -0.620 eV per atom

Entry 5:
The following is a PBE calculation of a relaxed structure of BaRhI, from the Alexandria database.

Cell lengths 5.7686, 5.7686, 9.8831 Å; angles 90.00, 90.00, 120.00 degrees
Space group P6_3/mmc (No. 194)
One atom of each set of equivalent atoms:
Ba: 0.3333 0.6667 0.2500 (multiplicity 2)
Rh: 0.0000 0.0000 0.0000 (multiplicity 2)
I: 0.0000 0.0000 0.2500 (multiplicity 2)

Output
magnetization = 0.00 μB/f.u.
raw total energy = -3.6984 eV per atom
energy relative to the elements, uncorrected = -0.090 eV per atom

Entry 6:
The following is a PBE calculation of a relaxed structure of Ba3Rh3I, from the Alexandria database.

Cell lengths 11.0432, 11.0432, 4.4868 Å; angles 90.00, 90.00, 120.00 degrees
Space group P6_3/m (No. 176)
One atom of each set of equivalent atoms:
Ba: 0.0796 0.7059 0.2500 (multiplicity 6)
Rh: 0.0148 0.8656 0.7500 (multiplicity 6)
I: 0.3333 0.6667 0.7500 (multiplicity 2)

Output
magnetization = 0.00 μB/f.u.
raw total energy = -4.5973 eV per atom
energy relative to the elements, uncorrected = -0.401 eV per atom

Entry 7:
The following is a PBE calculation of a relaxed structure of BaRhI, from the Alexandria database.

Cell lengths 4.2637, 10.7057, 7.5873 Å; angles 90.00, 90.00, 90.00 degrees
Space group Cmcm (No. 63)
One atom of each set of equivalent atoms:
Ba: 0.0000 0.2150 0.2500 (multiplicity 4)
Rh: 0.0000 0.0745 0.7500 (multiplicity 4)
I: 0.0000 0.5000 0.0000 (multiplicity 4)

Output
magnetization = 0.00 μB/f.u.
raw total energy = -3.9706 eV per atom
energy relative to the elements, uncorrected = -0.363 eV per atom

Entry 8:
The following is a PBE calculation of a relaxed structure of BaRhI, from the Alexandria database.

Cell lengths 7.1003, 7.1003, 7.1003 Å; angles 90.00, 90.00, 90.00 degrees
Space group F-43m (No. 216)
One atom of each set of equivalent atoms:
Ba: 0.0000 0.0000 0.0000 (multiplicity 4)
Rh: 0.2500 0.2500 0.2500 (multiplicity 4)
I: 0.0000 0.0000 0.5000 (multiplicity 4)

Output
magnetization = 0.00 μB/f.u.
raw total energy = -4.0310 eV per atom
energy relative to the elements, uncorrected = -0.423 eV per atom

Entry 9:
The following is a PBE calculation of a relaxed structure of BaRhI, from the Alexandria database.

Cell lengths 4.8076, 5.0423, 9.0617 Å; angles 78.78, 89.86, 89.98 degrees
Space group P1 (No. 1)
One atom of each set of equivalent atoms:
Ba: 0.0000 0.0000 0.0000 (multiplicity 1)
Ba: 0.0024 0.2208 0.5362 (multiplicity 1)
Rh: 0.0013 0.5651 0.7671 (multiplicity 1)
Rh: 0.5013 0.2448 0.7880 (multiplicity 1)
I: 0.5014 0.7694 0.7260 (multiplicity 1)
I: 0.5038 0.4166 0.2296 (multiplicity 1)

Output
magnetization = 0.00 μB/f.u.
raw total energy = -4.2734 eV per atom
energy relative to the elements, uncorrected = -0.665 eV per atom

Entry 10:
The following is a PBE calculation of a relaxed structure of BaRhI, from the Alexandria database.

Cell lengths 4.9048, 4.9099, 9.1616 Å; angles 90.27, 92.96, 105.10 degrees
Space group P1 (No. 1)
One atom of each set of equivalent atoms:
Ba: 0.0000 0.0000 0.0000 (multiplicity 1)
Ba: 0.0541 0.0457 0.5235 (multiplicity 1)
Rh: 0.5741 0.9798 0.7432 (multiplicity 1)
Rh: 0.9948 0.5655 0.7453 (multiplicity 1)
I: 0.4244 0.6694 0.2596 (multiplicity 1)
I: 0.4730 0.4544 0.8065 (multiplicity 1)

Output
magnetization = 0.00 μB/f.u.
raw total energy = -4.2642 eV per atom
energy relative to the elements, uncorrected = -0.656 eV per atom

Entry 11:
The following is a PBE calculation of a relaxed structure of BaRhI2, from the Alexandria database.

Cell lengths 6.2517, 6.2517, 16.2316 Å; angles 90.00, 90.00, 90.00 degrees
Space group I-42d (No. 122)
One atom of each set of equivalent atoms:
Ba: 0.0000 0.0000 0.0000 (multiplicity 4)
Rh: 0.0000 0.0000 0.5000 (multiplicity 4)
I: 0.1575 0.2500 0.6250 (multiplicity 8)

Output
polymorph energy (0 for the lowest one) = 0.000 eV/atom
magnetization = 1.00 μB/f.u.
raw total energy = -3.6022 eV per atom
energy relative to the elements, uncorrected = -0.509 eV per atom

Entry 12:
The following is a PBE calculation of a relaxed structure of Ba2RhI, from the Alexandria database.

Cell lengths 4.5940, 4.5940, 25.7676 Å; angles 90.00, 90.00, 120.00 degrees
Space group R3m (No. 160, hexagonal axes)
One atom of each set of equivalent atoms:
Ba: 0.0000 0.0000 0.0000 (multiplicity 3)
Ba: 0.0000 0.0000 0.2022 (multiplicity 3)
Rh: 0.0000 0.0000 0.6015 (multiplicity 3)
I: 0.0000 0.0000 0.4343 (multiplicity 3)

Output
polymorph energy (0 for the lowest one) = 0.010 eV/atom
magnetization = 0.00 μB/f.u.
raw total energy = -3.9565 eV per atom
energy relative to the elements, uncorrected = -0.770 eV per atom